Record 1
Density functional theory data (GGA-PBE) for an optimized crystal structure of LiHg3Ir4.

Output
Uncorrected energy = -3.6339 eV/atom
Total magnetization = 0.359 μB per cell

Cell and atoms, written as CIF:
```
data_LiHg3Ir4
_space_group_name_H-M_alt 'I 4/m m m'
_space_group_IT_number 139
_space_group_name_Hall '-I 4 2'
_cell_length_a 5.252
_cell_length_b 5.252
_cell_length_c 10.997
_cell_angle_alpha 90.00
_cell_angle_beta 90.00
_cell_angle_gamma 90.00
loop_
_atom_site_label
_atom_site_fract_x
_atom_site_fract_y
_atom_site_fract_z
Li1 0.000 0.000 0.000
Hg1 0.000 0.000 0.500
Hg2 0.000 0.500 0.250
Ir1 0.000 0.000 0.198
Ir2 0.000 0.500 0.000
```


Record 2
Density functional theory data (GGA-PBE) for an optimized crystal structure of LiHgMoIr.

Output
Uncorrected energy = -5.3670 eV/atom
Total magnetization = 0.013 μB per cell
ΔE to the lowest computed polymorph = 0 meV/atom

Cell and atoms, written as CIF:
```
data_LiHgMoIr
_space_group_name_H-M_alt 'F -4 3 m'
_space_group_IT_number 216
_space_group_name_Hall 'F -4 2 3'
_cell_length_a 6.287
_cell_length_b 6.287
_cell_length_c 6.287
_cell_angle_alpha 90.00
_cell_angle_beta 90.00
_cell_angle_gamma 90.00
loop_
_atom_site_label
_atom_site_fract_x
_atom_site_fract_y
_atom_site_fract_z
Li1 0.000 0.000 0.000
Hg1 0.250 0.250 0.750
Mo1 0.250 0.250 0.250
Ir1 0.000 0.000 0.500
```


Record 3
Density functional theory data (GGA-PBE) for an optimized crystal structure of LiHgMoIr.

Output
Uncorrected energy = -4.8667 eV/atom
Total magnetization = 1.104 μB per cell
ΔE to the lowest computed polymorph = 500 meV/atom

Cell and atoms, written as CIF:
```
data_LiHgMoIr
_space_group_name_H-M_alt 'F -4 3 m'
_space_group_IT_number 216
_space_group_name_Hall 'F -4 2 3'
_cell_length_a 6.305
_cell_length_b 6.305
_cell_length_c 6.305
_cell_angle_alpha 90.00
_cell_angle_beta 90.00
_cell_angle_gamma 90.00
loop_
_atom_site_label
_atom_site_fract_x
_atom_site_fract_y
_atom_site_fract_z
Li1 0.000 0.000 0.000
Hg1 0.000 0.000 0.500
Mo1 0.250 0.250 0.250
Ir1 0.250 0.250 0.750
```


Record 4
Density functional theory data (GGA-PBE) for an optimized crystal structure of LiHg3IrO4.

Output
Uncorrected energy = -3.3813 eV/atom
Total magnetization = 3.530 μB per cell

Cell and atoms, written as CIF:
```
data_LiHg3IrO4
_space_group_name_H-M_alt 'P -4 3 m'
_space_group_IT_number 215
_space_group_name_Hall 'P -4 2 3'
_cell_length_a 5.423
_cell_length_b 5.423
_cell_length_c 5.423
_cell_angle_alpha 90.00
_cell_angle_beta 90.00
_cell_angle_gamma 90.00
loop_
_atom_site_label
_atom_site_fract_x
_atom_site_fract_y
_atom_site_fract_z
Li1 0.000 0.000 0.000
Hg1 0.000 0.500 0.500
Ir1 0.500 0.500 0.500
O1 0.244 0.244 0.244
```